First-principles (PBE+U) data for a relaxed SrCrOsO6 crystal, as listed in the Alexandria database.

Results
The calculation puts the electronic total energy at -65.759 eV per cell. The volume comes out at 14.1 A^3/atom. The space group is P312 (149).

Lattice parameters (Å, degrees): 5.224 5.223 5.352 89.96 89.98 60.01
Element x y z (fractional)
Sr (0.000, 0.000, 0.000)
Cr (0.667, 0.667, 0.500)
Os (0.333, 0.333, 0.500)
O (0.012, 0.376, 0.299)
O (0.376, 0.012, 0.701)
O (0.612, 0.376, 0.701)
O (0.012, 0.612, 0.701)
O (0.376, 0.612, 0.299)
O (0.612, 0.012, 0.299)